Entry from Alexandria via LeMat-Bulk: a geometry-optimized Ag2Hg2P structure (PBE-GGA).

Unit cell a=6.8080 b=6.8080 c=4.6153 alpha=90.00 beta=90.00 gamma=90.00
Space group P4/mbm (No. 127)
Symmetry-distinct sites (fractional):
Ag1 0.1609 0.3391 0.0000
Hg1 0.1533 0.6533 0.5000
P1 0.0000 0.0000 0.0000

Calculated values
The value obtained for the formation energy is 0.314 eV per atom. The polymorph energy (0 for the lowest one) comes out at 0.000 eV/atom. As for the density of states at the Fermi level: 2.8 states/eV/f.u.

---

Entry from Alexandria via LeMat-Bulk: a geometry-optimized Ac4TlAg2 structure (PBE-GGA).

Unit cell a=5.4920 b=5.4920 c=29.9875 alpha=90.00 beta=90.00 gamma=120.00
Space group R-3m (No. 166, hexagonal axes)
Symmetry-distinct sites (fractional):
Ac1 0.0000 0.0000 0.1213
Ac2 0.0000 0.0000 0.2928
Tl1 0.0000 0.0000 0.5000
Ag1 0.0000 0.0000 0.4002

Calculated values
The value obtained for the formation energy is -0.096 eV per atom. The polymorph energy (0 for the lowest one) comes out at 0.068 eV/atom. As for the density of states at the Fermi level: 8.7 states/eV/f.u.